[1]
# SmVC (GGA-PBE, relaxed)
# **Space group**: P-6m2
# **Energy relative to the lowest polymorph listed for this composition**: 4.36 kcal/mol of atoms
# **Energy of formation from the pure elements**: 0.152 eV/atom
# **Magnetization**: 2.00 μB/f.u.
data_SmVC
_chemical_formula_sum 'Sm1 V1 C1'
_cell_length_a 3.5871
_cell_length_b 3.5871
_cell_length_c 4.4431
_cell_angle_alpha 90.00
_cell_angle_beta 90.00
_cell_angle_gamma 120.00
_symmetry_space_group_name_H-M 'P 1'
_symmetry_Int_Tables_number 1
_symmetry_space_group_name_Hall 'P 1'
loop_
_atom_site_label
_atom_site_type_symbol
_atom_site_fract_x
_atom_site_fract_y
_atom_site_fract_z
Sm1 Sm 0.0000 0.0000 0.0000
V1 V 0.3333 0.6667 0.5000
C1 C 0.6667 0.3333 0.5000

[2]
# P2SNCl (GGA-PBE, relaxed)
# **Space group**: P4/mmm
# **Energy relative to the lowest polymorph listed for this composition**: 0.00 kcal/mol of atoms
# **Energy relative to the elements, uncorrected**: 1.289 eV per atom
# **Magnetization**: 0.00 μB/f.u.
data_P2SNCl
_chemical_formula_sum 'P2 S1 N1 Cl1'
_cell_length_a 4.3218
_cell_length_b 4.3218
_cell_length_c 4.0768
_cell_angle_alpha 90.00
_cell_angle_beta 90.00
_cell_angle_gamma 90.00
_symmetry_space_group_name_H-M 'P 1'
_symmetry_Int_Tables_number 1
_symmetry_space_group_name_Hall 'P 1'
loop_
_atom_site_label
_atom_site_type_symbol
_atom_site_fract_x
_atom_site_fract_y
_atom_site_fract_z
P1 P 0.0000 0.5000 0.0000
P2 P 0.5000 0.0000 0.0000
S1 S 0.0000 0.0000 0.5000
N1 N 0.0000 0.0000 0.0000
Cl1 Cl 0.5000 0.5000 0.5000